# 1
VASP calculation (PBE-GGA) on a geometry-optimized ScAgBr structure.

Output
**ΔE_f (raw)**: -0.59 eV/atom
**Distance to the lowest polymorph of the same formula**: 0.000 eV/atom

Structure (POSCAR):
```
ScAgBr
1.0
3.5621 0.0000 0.0000
-1.7811 3.0849 0.0000
0.0000 0.0000 7.0094
Sc Ag Br
1 1 1
Cartesian
0.0000 0.0000 0.0000 Sc
1.7811 1.0283 1.9802 Ag
0.0000 2.0566 5.2038 Br
```

# 2
VASP calculation (PBE-GGA) on a geometry-optimized ScAgBr2 structure.

Output
**ΔE_f (raw)**: -0.41 eV/atom
**Distance to the lowest polymorph of the same formula**: 0.460 eV/atom

Structure (POSCAR):
```
ScAgBr2
1.0
3.8883 0.0000 0.0000
0.0000 4.0930 0.0000
0.0000 0.0000 5.7985
Sc Ag Br
1 1 2
Cartesian
0.0000 0.0000 0.0000 Sc
1.9442 0.0000 2.8992 Ag
0.0000 2.0465 2.8992 Br
1.9442 2.0465 0.0000 Br
```

# 3
VASP calculation (PBE-GGA) on a geometry-optimized Sc2AgBr structure.

Output
**ΔE_f (raw)**: -0.48 eV/atom
**Distance to the lowest polymorph of the same formula**: 0.000 eV/atom

Structure (POSCAR):
```
Sc2AgBr
1.0
3.3752 0.0000 0.0000
0.0000 3.5114 0.0000
0.0000 0.0000 7.8631
Sc Ag Br
2 1 1
Cartesian
0.0000 0.0000 1.6645 Sc
0.0000 0.0000 6.1986 Sc
1.6876 1.7557 0.0000 Ag
1.6876 0.0000 3.9316 Br
```

# 4
VASP calculation (PBE-GGA) on a geometry-optimized ScAgBr2 structure.

Output
**ΔE_f (raw)**: -0.68 eV/atom
**Distance to the lowest polymorph of the same formula**: 0.191 eV/atom

Structure (POSCAR):
```
ScAgBr2
1.0
-4.7477 4.7477 2.8526
4.7477 -4.7477 2.8526
4.7477 4.7477 -2.8526
Sc Ag Br
2 2 4
Cartesian
0.0000 0.0000 0.0000 Sc
0.0000 4.7477 1.4263 Sc
4.7477 0.0000 1.4263 Ag
0.0000 0.0000 2.8526 Ag
-0.9857 2.3739 0.7132 Br
2.3739 3.7620 2.1395 Br
0.9857 7.1216 0.7132 Br
-2.3739 5.7335 2.1395 Br
```

# 5
VASP calculation (PBE-GGA) on a geometry-optimized ScAg2Br5 structure.

Output
**ΔE_f (raw)**: -0.96 eV/atom
**Distance to the lowest polymorph of the same formula**: 0.002 eV/atom

Structure (POSCAR):
```
ScAg2Br5
1.0
2.6096 -7.1762 0.0000
2.6096 7.1762 0.0000
0.0000 0.0000 13.9075
Sc Ag Br
2 4 10
Cartesian
2.6096 4.5429 10.4306 Sc
2.6096 -4.5429 3.4769 Sc
2.6096 5.0642 0.7021 Ag
2.6096 5.0642 6.2517 Ag
2.6096 -5.0642 7.6558 Ag
2.6096 -5.0642 13.2054 Ag
2.6096 6.4022 8.6426 Br
2.6096 6.4022 12.2187 Br
2.6096 3.1043 3.4769 Br
2.6096 2.6283 8.4071 Br
2.6096 2.6283 12.4542 Br
2.6096 -2.6283 1.4533 Br
2.6096 -2.6283 5.5004 Br
2.6096 -3.1043 10.4306 Br
2.6096 -6.4022 1.6888 Br
2.6096 -6.4022 5.2649 Br
```

# 6
VASP calculation (PBE-GGA) on a geometry-optimized Sc2AgBr structure.

Output
**ΔE_f (raw)**: -0.45 eV/atom
**Distance to the lowest polymorph of the same formula**: 0.036 eV/atom

Structure (POSCAR):
```
Sc2AgBr
1.0
3.4560 0.0000 0.0000
0.0000 3.4560 0.0000
0.0000 0.0000 8.5022
Sc Ag Br
2 1 1
Cartesian
0.0000 0.0000 0.0000 Sc
1.7280 1.7280 2.0528 Sc
0.0000 0.0000 3.7532 Ag
1.7280 1.7280 7.1025 Br
```